## InAgPt (GGA-PBEsol)

Data for a geometry-optimized InAgPt structure.

```
InAgPt
1.0
4.391 0.000 0.000
2.196 3.803 0.000
2.196 1.268 3.585
Pt In Ag
1 1 1
direct
0.000 0.000 0.000 Pt
0.250 0.250 0.250 In
0.500 0.500 0.500 Ag
```

Properties
As for the final energy: -13.155 eV/cell. As for the space group: F-43m, No. 216.